First-principles (GGA+U) data for a geometry-optimized CoPdNO structure, as listed in the Open Quantum Materials Database.

The structure in POSCAR format:
```
CoPdNO
1.0
3.777 0.000 0.000
0.000 3.777 0.000
0.000 0.000 6.152
Co Pd N O
2 2 2 2
Direct
0.250 0.750 0.000
0.750 0.250 0.000
0.250 0.250 0.326
0.750 0.750 0.674
0.250 0.250 0.998
0.750 0.750 0.002
0.250 0.750 0.500
0.750 0.250 0.500
```

Output
total energy	-43.2	eV for the cell shown
V	87.7	Å³/cell
total magnetic moment	0.00	μB per formula unit
relative energy among the computed polymorphs	346	meV/atom



First-principles (GGA+U) data for a geometry-optimized PmCoNO structure, as listed in the Open Quantum Materials Database.

The structure in POSCAR format:
```
PmCoNO
1.0
4.917 0.000 0.000
0.000 4.917 0.000
0.000 0.000 4.469
Pm Co N O
2 2 2 2
Direct
0.250 0.750 0.000
0.750 0.250 0.000
0.250 0.250 0.499
0.750 0.750 0.501
0.250 0.250 0.999
0.750 0.750 0.001
0.250 0.750 0.500
0.750 0.250 0.500
```

Output
total energy	-54.7	eV for the cell shown
V	108.0	Å³/cell
total magnetic moment	3.00	μB per formula unit
relative energy among the computed polymorphs	206	meV/atom



First-principles (GGA+U) data for a geometry-optimized PmCoNO structure, as listed in the Open Quantum Materials Database.

The structure in POSCAR format:
```
PmCoNO
1.0
3.763 0.000 0.000
0.000 5.985 0.000
0.000 0.000 5.200
Pm Co N O
2 2 2 2
Direct
0.000 0.209 0.000
0.000 0.791 0.500
0.500 0.298 0.513
0.500 0.702 0.013
0.000 0.179 0.474
0.000 0.821 0.974
0.500 0.386 0.893
0.500 0.614 0.393
```

Output
total energy	-56.3	eV for the cell shown
V	117.1	Å³/cell
total magnetic moment	3.00	μB per formula unit
relative energy among the computed polymorphs	2	meV/atom



First-principles (GGA+U) data for a geometry-optimized PmCoNO structure, as listed in the Open Quantum Materials Database.

The structure in POSCAR format:
```
PmCoNO
1.0
3.759 0.000 0.000
0.000 3.759 0.000
0.000 0.000 7.372
Pm Co N O
2 2 2 2
Direct
0.250 0.250 0.170
0.750 0.750 0.830
0.250 0.750 0.500
0.750 0.250 0.500
0.250 0.250 0.578
0.750 0.750 0.422
0.250 0.750 0.000
0.750 0.250 0.000
```

Output
total energy	-56.1	eV for the cell shown
V	104.2	Å³/cell
total magnetic moment	1.00	μB per formula unit
relative energy among the computed polymorphs	24	meV/atom



First-principles (GGA+U) data for a geometry-optimized PmCoNO structure, as listed in the Open Quantum Materials Database.

The structure in POSCAR format:
```
PmCoNO
1.0
5.635 0.000 0.000
0.000 7.964 0.000
0.000 0.000 5.114
Pm Co N O
4 4 4 4
Direct
0.030 0.152 0.000
0.470 0.152 0.500
0.530 0.848 0.000
0.970 0.848 0.500
0.052 0.615 0.981
0.448 0.615 0.481
0.552 0.385 0.981
0.948 0.385 0.481
0.048 0.144 0.508
0.452 0.144 0.008
0.548 0.856 0.508
0.952 0.856 0.008
0.115 0.585 0.595
0.385 0.585 0.095
0.615 0.415 0.595
0.885 0.415 0.095
```

Output
total energy	-112.6	eV for the cell shown
V	229.5	Å³/cell
total magnetic moment	3.00	μB per formula unit
relative energy among the computed polymorphs	1	meV/atom



First-principles (GGA+U) data for a geometry-optimized PmCoNO structure, as listed in the Open Quantum Materials Database.

The structure in POSCAR format:
```
PmCoNO
1.0
3.472 0.000 0.000
0.000 5.612 0.000
0.000 0.000 5.719
Pm Co N O
2 2 2 2
Direct
0.000 0.207 0.000
0.000 0.793 0.500
0.500 0.247 0.526
0.500 0.753 0.026
0.500 0.049 0.249
0.500 0.951 0.749
0.000 0.400 0.618
0.000 0.600 0.118
```

Output
total energy	-56.3	eV for the cell shown
V	111.4	Å³/cell
total magnetic moment	3.00	μB per formula unit
relative energy among the computed polymorphs	0	meV/atom



First-principles (GGA+U) data for a geometry-optimized CoPtNO structure, as listed in the Open Quantum Materials Database.

The structure in POSCAR format:
```
CoPtNO
1.0
3.953 0.000 0.000
0.000 3.953 0.000
0.000 0.000 6.536
Co Pt N O
2 2 2 2
Direct
0.250 0.250 0.070
0.750 0.750 0.930
0.250 0.750 0.500
0.750 0.250 0.500
0.250 0.250 0.385
0.750 0.750 0.615
0.250 0.750 0.000
0.750 0.250 0.000
```

Output
total energy	-46.9	eV for the cell shown
V	102.2	Å³/cell
total magnetic moment	2.90	μB per formula unit
relative energy among the computed polymorphs	78	meV/atom



First-principles (GGA+U) data for a geometry-optimized CoPtNO structure, as listed in the Open Quantum Materials Database.

The structure in POSCAR format:
```
CoPtNO
1.0
3.768 0.000 0.000
0.000 3.768 0.000
0.000 0.000 6.337
Co Pt N O
2 2 2 2
Direct
0.250 0.750 0.000
0.750 0.250 0.000
0.250 0.250 0.312
0.750 0.750 0.688
0.250 0.250 0.004
0.750 0.750 0.996
0.250 0.750 0.500
0.750 0.250 0.500
```

Output
total energy	-44.4	eV for the cell shown
V	90.0	Å³/cell
total magnetic moment	0.00	μB per formula unit
relative energy among the computed polymorphs	392	meV/atom